Record 1
# CuAsH

CuAsH after structural relaxation (PBE, Alexandria).

Structure (POSCAR):
```
CuAsH
1.0
-1.004 -1.897 -1.875
-1.346 -2.414 3.161
-7.090 -0.050 3.846
As H Cu
2 2 2
Direct
0.523 0.564 0.095 As
0.023 0.720 0.577 As
0.523 0.904 0.832 H
0.023 0.380 0.840 H
0.024 0.990 0.152 Cu
0.523 0.295 0.519 Cu
```

Crystal system: monoclinic
Relative energy among the computed polymorphs: 0.0000 eV per atom
Total energy: -11.65 eV per formula unit
DOS(E_F): 1.636 states/eV/cell

Record 2
# Cu2AsH2

Cu2AsH2 after structural relaxation (PBE, Alexandria).

Structure (POSCAR):
```
Cu2AsH2
1.0
2.981 0.000 0.000
0.000 2.981 0.000
1.491 1.491 5.747
Cu H As
2 2 1
Direct
0.338 0.338 0.324 Cu
0.662 0.662 0.676 Cu
0.250 0.750 0.500 H
0.750 0.250 0.500 H
0.000 0.000 0.000 As
```

Crystal system: tetragonal
Relative energy among the computed polymorphs: 0.0041 eV per atom
Total energy: -17.94 eV per formula unit
DOS(E_F): 2.219 states/eV/cell